Here is a relaxed LaTbPrHo3 crystal from Alexandria via LeMat-Bulk. Energies are from PBE.

Lattice parameters (Å, degrees): 6.4091 6.4091 11.8549 90.00 90.00 124.93
With the nearest neighbours (Å) after each atom.
Fractional positions:
La 0.0030 0.9970 0.7500  7 Ho 3.53-3.76, 3 Tb 3.58-3.67
La 0.9970 0.0030 0.2500  7 Ho 3.53-3.76, 3 Tb 3.58-3.67
Tb 0.3256 0.6744 0.7500  4 Ho 3.44, 2 Pr 3.57, 3 La 3.58-3.67
Tb 0.6744 0.3256 0.2500  4 Ho 3.44, 2 Pr 3.57, 3 La 3.58-3.67
Pr 0.5000 0.5000 0.0000  8 Ho 3.55-3.70, 2 Tb 3.57
Pr 0.5000 0.5000 0.5000  8 Ho 3.55-3.70, 2 Tb 3.57
Ho 0.1747 0.8253 0.0020  3 Ho 3.41-3.42, 1 Tb 3.44, 3 Pr 3.57-3.70, 2 La 3.57
Ho 0.1747 0.8253 0.4980  3 Ho 3.41-3.42, 1 Tb 3.44, 3 Pr 3.57-3.70, 2 La 3.57
Ho 0.3275 0.6725 0.2500  2 Ho 3.41, 2 Tb 3.44, 3 La 3.53-3.76, 2 Pr 3.55
Ho 0.6725 0.3275 0.7500  2 Ho 3.41, 2 Tb 3.44, 3 La 3.53-3.76, 2 Pr 3.55
Ho 0.8253 0.1747 0.5020  3 Ho 3.41-3.42, 1 Tb 3.44, 3 Pr 3.57-3.70, 2 La 3.57
Ho 0.8253 0.1747 0.9980  3 Ho 3.41-3.42, 1 Tb 3.44, 3 Pr 3.57-3.70, 2 La 3.57

calculated total energy = -4.569 eV per atom
energy of formation from the pure elements = 109 meV/atom
symmetry = No. 63



Here is a relaxed Cr2Ni8Rh crystal from Alexandria via LeMat-Bulk. Energies are from PBE.

Lattice parameters (Å, degrees): 6.5869 6.5869 6.5869 149.29 113.38 75.13
With the nearest neighbours (Å) after each atom.
Fractional positions:
Cr 0.1588 0.1588 0.0000  10 Ni 2.41-2.62
Cr 0.8412 0.8412 0.0000  10 Ni 2.41-2.62
Ni 0.0807 0.3365 0.7443  7 Ni 2.43-2.55, 3 Cr 2.48-2.62, 1 Rh 2.52
Ni 0.2418 0.0000 0.2418  2 Cr 2.41, 6 Ni 2.44-2.62, 2 Rh 2.56
Ni 0.3234 0.8234 0.5000  8 Ni 2.43-2.62, 2 Cr 2.45, 2 Rh 2.54
Ni 0.4078 0.6635 0.7443  7 Ni 2.43-2.55, 3 Cr 2.48-2.62, 1 Rh 2.52
Ni 0.5922 0.3365 0.2557  7 Ni 2.43-2.55, 3 Cr 2.48-2.62, 1 Rh 2.52
Ni 0.6766 0.1766 0.5000  8 Ni 2.43-2.62, 2 Cr 2.45, 2 Rh 2.54
Ni 0.7582 0.0000 0.7582  2 Cr 2.41, 6 Ni 2.44-2.62, 2 Rh 2.56
Ni 0.9193 0.6635 0.2557  7 Ni 2.43-2.55, 3 Cr 2.48-2.62, 1 Rh 2.52
Rh 0.5000 0.5000 0.0000  12 Ni 2.52-2.56

calculated total energy = -6.483 eV per atom
energy of formation from the pure elements = 140 meV/atom
symmetry = No. 71



Here is a relaxed MgGe2Se crystal from Alexandria via LeMat-Bulk. Energies are from PBE.

Lattice parameters (Å, degrees): 7.2782 7.2782 7.2782 129.43 129.43 74.32
With the nearest neighbours (Å) after each atom.
Fractional positions:
Mg 0.0000 0.0000 0.0000  4 Ge 2.68
Mg 0.7500 0.2500 0.5000  4 Ge 2.68
Ge 0.1366 0.6250 0.0116  2 Se 2.59, 2 Mg 2.68
Ge 0.3750 0.3866 0.5116  2 Se 2.59, 2 Mg 2.68
Ge 0.6134 0.1250 0.9884  2 Se 2.59, 2 Mg 2.68
Ge 0.8750 0.8634 0.4884  2 Se 2.59, 2 Mg 2.68
Se 0.2500 0.7500 0.5000  4 Ge 2.59
Se 0.5000 0.5000 0.0000  4 Ge 2.59

calculated total energy = -3.421 eV per atom
formation energy (no corrections) = 158 meV per atom
symmetry = No. 122



Here is a relaxed La5Pr4Tm2 crystal from Alexandria via LeMat-Bulk. Energies are from PBE.

Lattice parameters (Å, degrees): 12.1114 12.1114 9.4868 111.72 111.72 17.84
With the nearest neighbours (Å) after each atom.
Fractional positions:
La 0.0000 0.0000 0.0000  4 Pr 3.56, 6 La 3.59-3.76
La 0.2582 0.2582 0.1826  2 Tm 3.56, 7 La 3.59-3.83, 3 Pr 3.76-3.80
La 0.3756 0.3756 0.0222  2 Pr 3.52-3.64, 7 La 3.59-3.76, 2 Tm 3.61
La 0.6244 0.6244 0.9778  2 Pr 3.52-3.64, 7 La 3.59-3.76, 2 Tm 3.61
La 0.7418 0.7418 0.8174  2 Tm 3.56, 7 La 3.59-3.83, 3 Pr 3.76-3.80
Pr 0.3260 0.3260 0.6098  5 Pr 3.62-3.93, 4 La 3.64-3.80, 2 Tm 3.81
Pr 0.4846 0.4846 0.6693  4 Tm 3.48-3.58, 3 La 3.52-3.56, 4 Pr 3.55-3.76
Pr 0.5154 0.5154 0.3307  4 Tm 3.48-3.58, 3 La 3.52-3.56, 4 Pr 3.55-3.76
Pr 0.6740 0.6740 0.3902  5 Pr 3.62-3.93, 4 La 3.64-3.80, 2 Tm 3.81
Tm 0.1070 0.1070 0.6388  6 Pr 3.48-3.81, 4 La 3.56-3.61, 2 Tm 3.76
Tm 0.8930 0.8930 0.3612  6 Pr 3.48-3.81, 4 La 3.56-3.61, 2 Tm 3.76

calculated total energy = -4.724 eV per atom
energy of formation from the pure elements = 67 meV/atom
symmetry = No. 12



Here is a relaxed PuTh2Sc crystal from Alexandria via LeMat-Bulk. Energies are from PBE.

Lattice parameters (Å, degrees): 5.4236 5.4236 5.4236 60.00 60.00 60.00
With the nearest neighbours (Å) after each atom.
Fractional positions:
Pu 0.0000 0.0000 0.0000  8 Th 3.32
Th 0.2500 0.2500 0.2500  4 Sc 3.32, 4 Pu 3.32
Th 0.7500 0.7500 0.7500  4 Sc 3.32, 4 Pu 3.32
Sc 0.5000 0.5000 0.5000  8 Th 3.32

calculated total energy = -8.765 eV per atom
energy of formation from the pure elements = 111 meV/atom
symmetry = No. 225



Here is a relaxed Li4AsPb crystal from Alexandria via LeMat-Bulk. Energies are from PBE.

Lattice parameters (Å, degrees): 5.3892 5.3892 5.3892 60.00 60.00 60.00
With the nearest neighbours (Å) after each atom.
Fractional positions:
Li 0.1253 0.1253 0.1253  6 Li 2.69-2.70
Li 0.1253 0.1253 0.6241  6 Li 2.69-2.70
Li 0.1253 0.6241 0.1253  6 Li 2.69-2.70
Li 0.6241 0.1253 0.1253  6 Li 2.69-2.70
As 0.5000 0.5000 0.5000  12 Li 3.16, 4 Pb 3.30
Pb 0.7500 0.7500 0.7500  12 Li 3.16, 4 As 3.30

calculated total energy = -2.777 eV per atom
energy of formation from the pure elements = -108 meV/atom
symmetry = No. 216



Here is a relaxed NaSrHf2Br crystal from Alexandria via LeMat-Bulk. Energies are from PBE.

Lattice parameters (Å, degrees): 5.0739 5.0739 5.8845 90.00 90.00 90.00
With the nearest neighbours (Å) after each atom.
Fractional positions:
Na 0.0000 0.0000 0.0000  4 Sr 3.59, 8 Hf 3.88
Sr 0.5000 0.5000 0.0000  2 Br 2.94
Hf 0.0000 0.5000 0.5000  2 Br 2.54
Hf 0.5000 0.0000 0.5000  2 Br 2.54
Br 0.5000 0.5000 0.5000  4 Hf 2.54

calculated total energy = -4.381 eV per atom
formation energy (no corrections) = 535 meV per atom
symmetry = No. 123



Here is a relaxed HRuF3 crystal from Alexandria via LeMat-Bulk. Energies are from PBE.

Lattice parameters (Å, degrees): 3.5764 3.5764 3.5764 90.00 90.00 90.00
With the nearest neighbours (Å) after each atom.
Fractional positions:
H 0.0000 0.0000 0.0000  6 F 1.79
Ru 0.5000 0.5000 0.5000  12 F 2.53
F 0.0000 0.0000 0.5000  2 H 1.79
F 0.0000 0.5000 0.0000  2 H 1.79
F 0.5000 0.0000 0.0000  2 H 1.79

calculated total energy = -4.110 eV per atom
symmetry = No. 221



Here is a relaxed Li4SbAs crystal from Alexandria via LeMat-Bulk. Energies are from PBE.

Lattice parameters (Å, degrees): 4.6664 4.6664 5.6851 103.47 103.47 106.56
With the nearest neighbours (Å) after each atom.
Fractional positions:
Li 0.0528 0.4327 0.2619  2 As 2.67-2.79, 2 Sb 2.80-2.82, 4 Li 2.82-2.93
Li 0.4327 0.0528 0.2619  2 As 2.67-2.79, 2 Sb 2.80-2.82, 4 Li 2.82-2.93
Li 0.5673 0.9472 0.7381  2 As 2.67-2.79, 2 Sb 2.80-2.82, 4 Li 2.82-2.93
Li 0.9472 0.5673 0.7381  2 As 2.67-2.79, 2 Sb 2.80-2.82, 4 Li 2.82-2.93
Sb 0.5000 0.5000 0.0000  8 Li 2.80-2.82, 2 As 3.11
As 0.0000 0.0000 0.5000  8 Li 2.67-2.79

calculated total energy = -3.304 eV per atom
formation energy (no corrections) = -566 meV per atom
symmetry = No. 12



Here is a relaxed Ho7In2Bi2 crystal from Alexandria via LeMat-Bulk. Energies are from PBE.

Lattice parameters (Å, degrees): 6.8601 6.8601 7.7383 90.00 90.00 106.43
With the nearest neighbours (Å) after each atom.
Fractional positions:
Ho 0.0000 0.0000 0.0000  2 Bi 3.20
Ho 0.0000 0.5000 0.2883  2 Bi 3.07, 2 In 3.26, 3 Ho 3.28-3.43
Ho 0.0000 0.5000 0.7117  2 Bi 3.07, 2 In 3.26, 3 Ho 3.28-3.43
Ho 0.5000 0.0000 0.2883  2 Bi 3.07, 2 In 3.26, 3 Ho 3.28-3.43
Ho 0.5000 0.0000 0.7117  2 Bi 3.07, 2 In 3.26, 3 Ho 3.28-3.43
Ho 0.5000 0.5000 0.2781  2 Bi 3.15, 2 In 3.18, 5 Ho 3.43
Ho 0.5000 0.5000 0.7219  2 Bi 3.15, 2 In 3.18, 5 Ho 3.43
In 0.1748 0.1748 0.5000  1 In 2.87, 2 Ho 3.18
In 0.8252 0.8252 0.5000  1 In 2.87, 2 Ho 3.18
Bi 0.2909 0.7091 0.0000  7 Ho 3.07-3.20
Bi 0.7091 0.2909 0.0000  7 Ho 3.07-3.20

calculated total energy = -4.285 eV per atom
energy of formation from the pure elements = -168 meV/atom
symmetry = No. 65



Here is a relaxed Cs2Rb4AlBi2 crystal from Alexandria via LeMat-Bulk. Energies are from PBE.

Lattice parameters (Å, degrees): 9.7896 9.7896 6.5042 109.00 109.00 56.79
With the nearest neighbours (Å) after each atom.
Fractional positions:
Cs 0.1426 0.1426 0.1478  6 Rb 4.18-4.19, 2 Bi 4.34-4.37, 1 Cs 4.57
Cs 0.8574 0.8574 0.8522  6 Rb 4.18-4.19, 2 Bi 4.34-4.37, 1 Cs 4.57
Rb 0.1521 0.5890 0.3661  3 Bi 3.90-4.07, 2 Rb 4.07-4.14, 3 Cs 4.18-4.19, 1 Al 4.33
Rb 0.4110 0.8479 0.6339  3 Bi 3.90-4.07, 2 Rb 4.07-4.14, 3 Cs 4.18-4.19, 1 Al 4.33
Rb 0.5890 0.1521 0.3661  3 Bi 3.90-4.07, 2 Rb 4.07-4.14, 3 Cs 4.18-4.19, 1 Al 4.33
Rb 0.8479 0.4110 0.6339  3 Bi 3.90-4.07, 2 Rb 4.07-4.14, 3 Cs 4.18-4.19, 1 Al 4.33
Al 0.5000 0.5000 0.0000  2 Bi 2.82
Bi 0.3237 0.3237 0.8211  1 Al 2.82
Bi 0.6763 0.6763 0.1789  1 Al 2.82

calculated total energy = -1.998 eV per atom
energy of formation from the pure elements = -100 meV/atom
symmetry = No. 12



Here is a relaxed Cr2IrPt crystal from Alexandria via LeMat-Bulk. Energies are from PBE.

Lattice parameters (Å, degrees): 2.6708 3.7578 5.3653 90.00 90.00 90.00
With the nearest neighbours (Å) after each atom.
Fractional positions:
Cr 0.0000 0.0000 0.2282  3 Cr 2.45-2.67, 4 Ir 2.61, 4 Pt 2.73
Cr 0.0000 0.0000 0.7718  3 Cr 2.45-2.67, 4 Ir 2.61, 4 Pt 2.73
Ir 0.5000 0.5000 0.0000  8 Cr 2.61, 2 Ir 2.67, 2 Pt 2.68
Pt 0.5000 0.5000 0.5000  2 Pt 2.67, 2 Ir 2.68, 8 Cr 2.73

calculated total energy = -8.725 eV per atom
energy of formation from the pure elements = -187 meV/atom
symmetry = No. 47